[1]
FeSe2BrN | PBE | optimized geometry

Results
Total magnetic moment (μB per formula unit): 4.078
Density of states at the Fermi level (states/eV/f.u.): 5.59
Raw formation energy (eV per atom): 1.1763
Total energy (eV/f.u.): -19.5
Energy above the most stable polymorph in this dataset (eV/f.u.): 3.43

Cell lengths 4.494, 4.494, 4.455 Å; angles 90.00, 90.00, 90.00 degrees
Site moments in Bohr magnetons follow the coordinates.
Positions (direct):
N 0.000 0.000 0.000  -0.01
Se 0.000 0.500 0.000  0.12
Se 0.500 0.000 0.000  0.12
Br 0.000 0.000 0.500  0.13
Fe 0.500 0.500 0.500  3.42

[2]
LaTh11 | PBE | optimized geometry

Results
Total magnetic moment (μB per formula unit): 0.000
Density of states at the Fermi level (states/eV/f.u.): 19.81
Formation energy (kJ/mol of atoms): 10
Total energy (eV/f.u.): -85.3

Cell lengths 3.497, 11.435, 11.435 Å; angles 120.00, 90.00, 90.00 degrees
Positions (direct):
La 0.000 0.000 0.000
Th 0.000 0.500 0.000
Th 0.000 0.000 0.500
Th 0.000 0.500 0.500
Th 0.500 0.174 0.347
Th 0.500 0.347 0.174
Th 0.500 0.826 0.174
Th 0.500 0.174 0.826
Th 0.500 0.653 0.826
Th 0.500 0.826 0.653
Th 0.000 0.667 0.333
Th 0.000 0.333 0.667

[3]
NaV2P | PBE | optimized geometry

Results
Total magnetic moment (μB per formula unit): 0.000
Density of states at the Fermi level (states/eV/f.u.): 3.33
Formation energy (kJ/mol of atoms): 47
Total energy (eV/f.u.): -23.0

Cell lengths 4.224, 4.224, 9.247 Å; angles 76.80, 76.80, 90.00 degrees
Positions (direct):
P 0.000 0.000 0.000
P 0.750 0.250 0.500
V 0.831 0.125 0.250
V 0.919 0.625 0.250
V 0.375 0.169 0.750
V 0.875 0.081 0.750
Na 0.500 0.500 0.000
Na 0.250 0.750 0.500

[4]
Li7SnHg2 | PBE | optimized geometry

Results
Total magnetic moment (μB per formula unit): 0.000
Density of states at the Fermi level (states/eV/f.u.): 6.82
Formation energy (kJ/mol of atoms): -24
Total energy (eV/f.u.): -20.5

Cell lengths 4.673, 4.673, 10.112 Å; angles 90.00, 90.00, 120.00 degrees
Positions (direct):
Li 0.667 0.333 0.604
Li 0.667 0.333 0.854
Li 0.000 0.000 0.665
Li 0.000 0.000 0.254
Li 0.333 0.667 0.451
Li 0.333 0.667 0.046
Li 0.667 0.333 0.094
Sn 0.000 0.000 0.961
Hg 0.333 0.667 0.738
Hg 0.667 0.333 0.349